KBa2Tl2: optimized geometry, PBE-GGA.

The structure belongs to space group I4/mmm (No. 139); the cell edges are 6.758, 6.758 and 10.502 Å and the angles 90.00°, 90.00° and 90.00°. The inequivalent atoms are K at (0.000, 0.000, 0.000), Ba at (0.000, 0.500, 0.250) and Tl at (0.000, 0.000, 0.362).

The value obtained for the polymorph energy (0 for the lowest one) is 10.19 kJ/mol of atoms. The crystal system is tetragonal. Its energy is -2.087 eV per atom. The density of states at the Fermi level comes out at 1.085 states/eV per atom.



NaGeSe3: optimized geometry, PBE-GGA.

The structure belongs to space group P-1 (No. 2); the cell edges are 6.093, 6.363 and 8.672 Å and the angles 95.66°, 97.18° and 114.69°. The inequivalent atoms are Na at (0.076, 0.422, 0.304), Ge at (0.500, 0.243, 0.980), Se at (0.160, 0.357, 0.963), Se at (0.382, 0.448, 0.603) and Se at (0.467, 0.920, 0.777).

The value obtained for the polymorph energy (0 for the lowest one) is 0.00 kJ/mol of atoms. The uncorrected formation energy comes out at -0.45 eV/atom. The crystal system is triclinic. Its energy is -3.723 eV per atom. The density of states at the Fermi level comes out at 0.044 states/eV per atom.



AcLa2Nd8: optimized geometry, PBE-GGA.

The structure belongs to space group Immm (No. 71); the cell edges are 5.713, 8.598 and 16.543 Å and the angles 90.00°, 90.00° and 90.00°. The inequivalent atoms are Ac at (0.000, 0.000, 0.000), La at (0.000, 0.000, 0.299), Nd at (0.000, 0.204, 0.500), Nd at (0.000, 0.296, 0.142) and Nd at (0.000, 0.500, 0.343).

The value obtained for the polymorph energy (0 for the lowest one) is 0.00 kJ/mol of atoms. The crystal system is orthorhombic. Its energy is -4.625 eV per atom. The density of states at the Fermi level comes out at 1.459 states/eV per atom.



What did the second record say?
NaGeSe3: optimized geometry, PBE-GGA.

The structure belongs to space group P-1 (No. 2); the cell edges are 6.093, 6.363 and 8.672 Å and the angles 95.66°, 97.18° and 114.69°. The inequivalent atoms are Na at (0.076, 0.422, 0.304), Ge at (0.500, 0.243, 0.980), Se at (0.160, 0.357, 0.963), Se at (0.382, 0.448, 0.603) and Se at (0.467, 0.920, 0.777).

The value obtained for the polymorph energy (0 for the lowest one) is 0.00 kJ/mol of atoms. The uncorrected formation energy comes out at -0.45 eV/atom. The crystal system is triclinic. Its energy is -3.723 eV per atom. The density of states at the Fermi level comes out at 0.044 states/eV per atom.



Among the records above, which one has the lowest energy? AcLa2Nd8